Record 1
# MgBeAl4O8

A geometry-optimized MgBeAl4O8 structure (GGA-PBEsol, Alexandria).

Computed properties:
- energy (eV/f.u.) = -105.7

Lattice parameters (Å, degrees): 5.6172 5.6172 18.1921 90.00 90.00 120.00
Space group P6_3mc (No. 186)
Asymmetric unit:
1 Mg 0.0000 0.0000 0.0000 [2 per cell]
2 Mg 0.3333 0.6667 0.2501 [2 per cell]
3 Be 0.3333 0.6667 0.4372 [2 per cell]
4 Be 0.3333 0.6667 0.7011 [2 per cell]
5 Al 0.0000 0.0000 0.2091 [2 per cell]
6 Al 0.0028 0.5014 0.0932 [6 per cell]
7 Al 0.1634 0.3269 0.8421 [6 per cell]
8 Al 0.3333 0.6667 0.9686 [2 per cell]
9 O 0.0000 0.0000 0.3956 [2 per cell]
10 O 0.0126 0.5063 0.9039 [6 per cell]
11 O 0.1474 0.2947 0.2810 [6 per cell]
12 O 0.1798 0.3596 0.6559 [6 per cell]
13 O 0.1840 0.3679 0.0342 [6 per cell]
14 O 0.3333 0.6667 0.1462 [2 per cell]
15 O 0.3333 0.6667 0.5343 [2 per cell]
16 O 0.3333 0.6667 0.7889 [2 per cell]

=====

Record 2
# MnBeAl2

A geometry-optimized MnBeAl2 structure (GGA-PBEsol, Alexandria).

Computed properties:
- ΔH_f (0 K) (eV per atom) = -0.156

Lattice parameters (Å, degrees): 3.4991 3.4991 7.7400 90.00 90.00 90.00
Space group I-4m2 (No. 119)
Asymmetric unit:
1 Mn 0.0000 0.0000 0.0000 [2 per cell]
2 Be 0.0000 0.5000 0.7500 [2 per cell]
3 Al 0.0000 0.0000 0.5000 [2 per cell]
4 Al 0.0000 0.5000 0.2500 [2 per cell]

=====

Record 3
# Mn2BeAl

A geometry-optimized Mn2BeAl structure (GGA-PBEsol, Alexandria).

Computed properties:
- ΔH_f (0 K) (eV per atom) = -0.152

Lattice parameters (Å, degrees): 5.4939 5.4939 5.4939 90.00 90.00 90.00
Space group F-43m (No. 216)
Asymmetric unit:
1 Mn 0.0000 0.0000 0.0000 [4 per cell]
2 Mn 0.2500 0.2500 0.2500 [4 per cell]
3 Be 0.0000 0.0000 0.5000 [4 per cell]
4 Al 0.2500 0.2500 0.7500 [4 per cell]

=====

Record 4
# MnBeAl2

A geometry-optimized MnBeAl2 structure (GGA-PBEsol, Alexandria).

Computed properties:
- ΔH_f (0 K) (eV per atom) = 0.476

Lattice parameters (Å, degrees): 6.6913 6.6913 4.9510 90.00 90.00 90.00
Space group I-42d (No. 122)
Asymmetric unit:
1 Mn 0.0000 0.0000 0.0000 [4 per cell]
2 Be 0.0000 0.0000 0.5000 [4 per cell]
3 Al 0.2183 0.7500 0.6250 [8 per cell]

=====

Record 5
# MnBeAl2

A geometry-optimized MnBeAl2 structure (GGA-PBEsol, Alexandria).

Computed properties:
- ΔH_f (0 K) (eV per atom) = -0.027

Lattice parameters (Å, degrees): 2.9427 3.0309 5.4109 90.00 90.00 90.00
Space group Pmm2 (No. 25)
Asymmetric unit:
1 Mn 0.0000 0.0000 0.0000 [1 per cell]
2 Be 0.5000 0.5000 0.8000 [1 per cell]
3 Al 0.0000 0.0000 0.5499 [1 per cell]
4 Al 0.5000 0.5000 0.2341 [1 per cell]

=====

Record 6
# Mn2BeAl

A geometry-optimized Mn2BeAl structure (GGA-PBEsol, Alexandria).

Computed properties:
- ΔH_f (0 K) (eV per atom) = -0.046

Lattice parameters (Å, degrees): 3.7065 3.7065 6.6193 90.00 90.00 90.00
Space group I4/mmm (No. 139)
Asymmetric unit:
1 Mn 0.0000 0.5000 0.2500 [4 per cell]
2 Be 0.0000 0.0000 0.0000 [2 per cell]
3 Al 0.0000 0.0000 0.5000 [2 per cell]

=====

Record 7
# Mn2BeAl

A geometry-optimized Mn2BeAl structure (GGA-PBEsol, Alexandria).

Computed properties:
- ΔH_f (0 K) (eV per atom) = -0.203

Lattice parameters (Å, degrees): 2.7468 2.7468 5.5453 90.00 90.00 90.00
Space group P4mm (No. 99)
Asymmetric unit:
1 Mn 0.0000 0.0000 0.0000 [1 per cell]
2 Mn 0.5000 0.5000 0.2310 [1 per cell]
3 Be 0.5000 0.5000 0.7870 [1 per cell]
4 Al 0.0000 0.0000 0.5146 [1 per cell]

=====

Record 8
# Mn2BeAl

A geometry-optimized Mn2BeAl structure (GGA-PBEsol, Alexandria).

Computed properties:
- ΔH_f (0 K) (eV per atom) = -0.041

Lattice parameters (Å, degrees): 3.8505 3.8505 2.9976 90.00 90.00 90.00
Space group P4/mmm (No. 123)
Asymmetric unit:
1 Mn 0.0000 0.5000 0.0000 [2 per cell]
2 Be 0.0000 0.0000 0.5000 [1 per cell]
3 Al 0.5000 0.5000 0.5000 [1 per cell]

=====

Record 9
# MnBeAl2

A geometry-optimized MnBeAl2 structure (GGA-PBEsol, Alexandria).

Computed properties:
- ΔH_f (0 K) (eV per atom) = -0.154

Lattice parameters (Å, degrees): 3.0800 3.8295 7.9001 90.00 90.00 90.00
Space group Imm2 (No. 44)
Asymmetric unit:
1 Mn 0.0000 0.0000 0.0000 [2 per cell]
2 Be 0.0000 0.5000 0.2800 [2 per cell]
3 Al 0.0000 0.0000 0.5250 [2 per cell]
4 Al 0.0000 0.5000 0.7549 [2 per cell]

=====

Record 10
# Mn3BeAl

A geometry-optimized Mn3BeAl structure (GGA-PBEsol, Alexandria).

Computed properties:
- ΔH_f (0 K) (eV per atom) = 1.438

Lattice parameters (Å, degrees): 4.3565 4.3565 4.3565 90.00 90.00 90.00
Space group Pm-3m (No. 221)
Asymmetric unit:
1 Mn 0.0000 0.0000 0.5000 [3 per cell]
2 Be 0.5000 0.5000 0.5000 [1 per cell]
3 Al 0.0000 0.0000 0.0000 [1 per cell]

=====

Record 11
# Mn2BeAl

A geometry-optimized Mn2BeAl structure (GGA-PBEsol, Alexandria).

Computed properties:
- ΔH_f (0 K) (eV per atom) = -0.096

Lattice parameters (Å, degrees): 2.8044 2.8044 5.5888 90.00 90.00 90.00
Space group P4/mmm (No. 123)
Asymmetric unit:
1 Mn 0.0000 0.0000 0.2231 [2 per cell]
2 Be 0.5000 0.5000 0.0000 [1 per cell]
3 Al 0.5000 0.5000 0.5000 [1 per cell]

=====

Record 12
# Mn2BeAlPb

A geometry-optimized Mn2BeAlPb structure (GGA-PBEsol, Alexandria).

Computed properties:
- ΔH_f (0 K) (eV per atom) = 0.936

Lattice parameters (Å, degrees): 4.6446 4.6446 4.3401 90.00 90.00 90.00
Space group P4/mmm (No. 123)
Asymmetric unit:
1 Mn 0.0000 0.5000 0.0000 [2 per cell]
2 Be 0.0000 0.0000 0.5000 [1 per cell]
3 Al 0.0000 0.0000 0.0000 [1 per cell]
4 Pb 0.5000 0.5000 0.5000 [1 per cell]

=====

Record 13
# Be2AlMo2

A geometry-optimized Be2AlMo2 structure (GGA-PBEsol, Alexandria).

Computed properties:
- ΔH_f (0 K) (eV per atom) = -0.156

Lattice parameters (Å, degrees): 6.0217 6.0217 3.2845 90.00 90.00 90.00
Space group P4/mbm (No. 127)
Asymmetric unit:
1 Be 0.1188 0.3812 0.0000 [4 per cell]
2 Al 0.0000 0.0000 0.0000 [2 per cell]
3 Mo 0.1744 0.6744 0.5000 [4 per cell]

=====

Record 14
# BeAlMo2

A geometry-optimized BeAlMo2 structure (GGA-PBEsol, Alexandria).

Computed properties:
- ΔH_f (0 K) (eV per atom) = 0.049

Lattice parameters (Å, degrees): 5.2214 8.1360 2.6468 90.00 102.70 90.00
Space group C2/m (No. 12)
Asymmetric unit:
1 Be 0.0000 0.0000 0.0000 [2 per cell]
2 Al 0.0000 0.5000 0.0000 [2 per cell]
3 Mo 0.2500 0.2500 0.5000 [4 per cell]

=====

Record 15
# Be2AlMo

A geometry-optimized Be2AlMo structure (GGA-PBEsol, Alexandria).

Computed properties:
- ΔH_f (0 K) (eV per atom) = 0.307

Lattice parameters (Å, degrees): 5.7662 5.7662 5.7662 90.00 90.00 90.00
Space group F-43m (No. 216)
Asymmetric unit:
1 Be 0.0000 0.0000 0.0000 [4 per cell]
2 Be 0.2500 0.2500 0.2500 [4 per cell]
3 Al 0.0000 0.0000 0.5000 [4 per cell]
4 Mo 0.2500 0.2500 0.7500 [4 per cell]

=====

Record 16
# Be4AlMo

A geometry-optimized Be4AlMo structure (GGA-PBEsol, Alexandria).

Computed properties:
- ΔH_f (0 K) (eV per atom) = -0.060

Lattice parameters (Å, degrees): 6.2340 6.2340 6.2340 90.00 90.00 90.00
Space group F-43m (No. 216)
Asymmetric unit:
1 Be 0.1218 0.1218 0.3782 [16 per cell]
2 Al 0.0000 0.0000 0.0000 [4 per cell]
3 Mo 0.2500 0.2500 0.7500 [4 per cell]

=====

Record 17
# Be2AlMo

A geometry-optimized Be2AlMo structure (GGA-PBEsol, Alexandria).

Computed properties:
- ΔH_f (0 K) (eV per atom) = 0.149

Lattice parameters (Å, degrees): 8.5678 2.6984 4.4712 90.00 104.53 90.00
Space group C2/m (No. 12)
Asymmetric unit:
1 Be 0.2488 0.0000 0.2137 [4 per cell]
2 Al 0.0000 0.0000 0.5000 [2 per cell]
3 Mo 0.0000 0.5000 0.0000 [2 per cell]

=====

Record 18
# Be2AlMo

A geometry-optimized Be2AlMo structure (GGA-PBEsol, Alexandria).

Computed properties:
- ΔH_f (0 K) (eV per atom) = -0.135

Lattice parameters (Å, degrees): 3.6495 3.6495 3.4568 90.00 90.00 90.00
Space group P4/mmm (No. 123)
Asymmetric unit:
1 Be 0.0000 0.5000 0.0000 [2 per cell]
2 Al 0.0000 0.0000 0.5000 [1 per cell]
3 Mo 0.5000 0.5000 0.5000 [1 per cell]

=====

Record 19
# BeAlTeMo2

A geometry-optimized BeAlTeMo2 structure (GGA-PBEsol, Alexandria).

Computed properties:
- energy (eV/f.u.) = -29.1

Lattice parameters (Å, degrees): 4.6919 4.6919 3.9141 90.00 90.00 90.00
Space group P4/mmm (No. 123)
Asymmetric unit:
1 Be 0.0000 0.0000 0.0000 [1 per cell]
2 Al 0.0000 0.0000 0.5000 [1 per cell]
3 Te 0.5000 0.5000 0.0000 [1 per cell]
4 Mo 0.0000 0.5000 0.5000 [2 per cell]

=====

Record 20
# BeAlN3

A geometry-optimized BeAlN3 structure (GGA-PBEsol, Alexandria).

Computed properties:
- energy (eV/f.u.) = -28.8

Lattice parameters (Å, degrees): 3.4314 3.4314 3.4314 90.00 90.00 90.00
Space group Pm-3m (No. 221)
Asymmetric unit:
1 Be 0.0000 0.0000 0.0000 [1 per cell]
2 Al 0.5000 0.5000 0.5000 [1 per cell]
3 N 0.0000 0.0000 0.5000 [3 per cell]